No. 1
Ca2MgZrH: relaxed, PBE-GGA.

a b c (Å): 5.023 5.023 4.642
angles (deg): 90.00 90.00 90.00
Fractional positions:
Ca 0.000 0.500 0.000
Ca 0.500 0.000 0.000
Mg 0.000 0.000 0.500
Zr 0.500 0.500 0.500
H 0.500 0.500 0.000

No. 2
GaP2CO: relaxed, PBE-GGA.

a b c (Å): 4.173 4.173 3.356
angles (deg): 90.00 90.00 90.00
Fractional positions:
Ga 0.000 0.000 0.000
P 0.000 0.500 0.500
P 0.500 0.000 0.500
C 0.500 0.500 0.500
O 0.500 0.500 0.000

Properties
E_form (uncorrected): 0.924 eV/atom
E above lowest polymorph: 0.000 eV per atom

No. 3
Ge2SbPbO6: relaxed, PBE-GGA.

a b c (Å): 7.476 7.476 6.170
angles (deg): 102.24 102.24 86.99
Fractional positions:
Ge 0.132 0.321 0.291
Ge 0.321 0.132 0.791
Ge 0.679 0.868 0.209
Ge 0.868 0.679 0.709
Sb 0.360 0.640 0.750
Sb 0.640 0.360 0.250
Pb 0.166 0.834 0.250
Pb 0.834 0.166 0.750
O 0.113 0.657 0.837
O 0.177 0.205 0.537
O 0.205 0.177 0.037
O 0.219 0.550 0.386
O 0.343 0.887 0.663
O 0.450 0.781 0.114
O 0.550 0.219 0.886
O 0.657 0.113 0.337
O 0.781 0.450 0.614
O 0.795 0.823 0.963
O 0.823 0.795 0.463
O 0.887 0.343 0.163

Properties
E_form (uncorrected): -1.327 eV/atom

No. 4
Sm3ErMg: relaxed, PBE-GGA.

a b c (Å): 11.365 11.365 8.521
angles (deg): 108.32 108.32 17.83
Fractional positions:
Sm 0.017 0.017 0.223
Sm 0.177 0.177 0.441
Sm 0.379 0.379 0.960
Sm 0.621 0.621 0.040
Sm 0.823 0.823 0.559
Sm 0.983 0.983 0.777
Er 0.266 0.266 0.181
Er 0.734 0.734 0.819
Mg 0.424 0.424 0.401
Mg 0.576 0.576 0.599

Properties
energy of formation from the pure elements: 0.3 eV/f.u.
E above lowest polymorph: 0.000 eV per atom

No. 5
Nd2Y5Th3: relaxed, PBE-GGA.

a b c (Å): 6.248 6.248 11.384
angles (deg): 90.15 90.15 47.79
Fractional positions:
Nd 0.098 0.098 0.203
Nd 0.902 0.902 0.797
Y 0.199 0.199 0.897
Y 0.299 0.299 0.598
Y 0.500 0.500 0.000
Y 0.701 0.701 0.402
Y 0.801 0.801 0.103
Th 0.000 0.000 0.500
Th 0.402 0.402 0.302
Th 0.598 0.598 0.698

Properties
energy of formation from the pure elements: 0.5 eV/f.u.

No. 6
YMgB: relaxed, PBE-GGA.

a b c (Å): 4.345 4.345 6.308
angles (deg): 90.00 90.00 90.00
Fractional positions:
Y 0.250 0.250 0.221
Y 0.750 0.750 0.779
Mg 0.250 0.250 0.750
Mg 0.750 0.750 0.250
B 0.250 0.750 0.000
B 0.750 0.250 0.000

Properties
energy of formation from the pure elements: 0.6 eV/f.u.
E above lowest polymorph: 0.486 eV per atom

No. 7
KCa2: relaxed, PBE-GGA.

a b c (Å): 3.963 6.004 12.400
angles (deg): 90.00 90.00 90.00
Fractional positions:
K 0.000 0.000 0.000
K 0.500 0.500 0.500
Ca 0.000 0.000 0.325
Ca 0.000 0.000 0.675
Ca 0.500 0.500 0.175
Ca 0.500 0.500 0.825

Properties
energy of formation from the pure elements: 0.5 eV/f.u.

No. 8
HoURu: relaxed, PBE-GGA.

a b c (Å): 3.475 3.475 10.822
angles (deg): 90.00 90.00 90.00
Fractional positions:
Ho 0.000 0.000 0.000
Ho 0.500 0.500 0.500
U 0.000 0.000 0.701
U 0.500 0.500 0.201
Ru 0.000 0.000 0.305
Ru 0.500 0.500 0.805

Properties
energy of formation from the pure elements: -0.3 eV/f.u.
E above lowest polymorph: 0.000 eV per atom

Ρ
In order: 2.789, 4.538, 5.750, 6.682, 7.210, 3.459, 1.342, 12.810
Unit: g cm⁻³
Fermi-level density of states
In order: 5.1, 1.7, 3.4, 14.6, 14.8, 3.7, 6.6, 8.1
Unit: states/eV/cell
E_tot
In order: -3.43, -4.68, -6.01, -4.00, -6.36, -4.70, -1.53, -8.50
Unit: eV/atom